1.
Computed, not measured: a geometry-optimized LaTb5Sm structure at the PBE level of DFT.

Calculated values
Total moment   0.00 μB/cell
ΔE_f   0.188 eV/atom
Fermi-level density of states   1.3442 states/eV/atom
Symmetry   C2/c, No. 15

Lattice parameters (Å, degrees): 6.8482 6.8482 13.8279 61.31 61.31 60.26
With the nearest neighbours (Å) after each atom.
Element x y z (fractional)
La1 0.7232 0.2768 0.7500  3 Tb 3.00-3.35
La2 0.2768 0.7232 0.2500  3 Tb 3.00-3.35
Tb1 0.1649 0.3971 0.7495  2 Tb 3.02-3.32, 1 Sm 3.30
Tb2 0.6434 0.6969 0.5006  4 Tb 3.32-3.62, 1 La 3.35
Tb3 0.3971 0.1649 0.2495  2 Tb 3.02-3.32, 1 Sm 3.30
Tb4 0.1596 0.8404 0.7500  1 La 3.00, 2 Tb 3.02
Tb5 0.3031 0.3566 0.9994  4 Tb 3.32-3.62, 1 La 3.35
Tb6 0.6969 0.6434 0.0006  4 Tb 3.32-3.62, 1 La 3.35
Tb7 0.8404 0.1596 0.2500  1 La 3.00, 2 Tb 3.02
Tb8 0.6029 0.8351 0.7505  2 Tb 3.02-3.32, 1 Sm 3.30
Tb9 0.3566 0.3031 0.4994  4 Tb 3.32-3.62, 1 La 3.35
Tb10 0.8351 0.6029 0.2505  2 Tb 3.02-3.32, 1 Sm 3.30
Sm1 0.0000 0.0000 0.0000  4 Tb 3.30-3.63
Sm2 0.0000 0.0000 0.5000  4 Tb 3.30-3.63

***

2.
Computed, not measured: a geometry-optimized La12TbSm7 structure at the PBE level of DFT.

Calculated values
Total moment   0.00 μB/cell
ΔE_f   0.185 eV/atom
Fermi-level density of states   1.9097 states/eV/atom
Symmetry   R-3, No. 148

Lattice parameters (Å, degrees): 8.9314 8.9314 8.9314 89.55 89.55 89.55
With the nearest neighbours (Å) after each atom.
Element x y z (fractional)
La1 0.8551 0.2615 0.7185  3 La 3.24-3.46
La2 0.7385 0.2815 0.1449  3 La 3.24-3.46
La3 0.6080 0.1432 0.4840  4 La 3.23-3.46, 1 Sm 3.33
La4 0.8568 0.5160 0.3920  4 La 3.23-3.46, 1 Sm 3.33
La5 0.2815 0.1449 0.7385  3 La 3.24-3.46
La6 0.5160 0.3920 0.8568  4 La 3.23-3.46, 1 Sm 3.33
La7 0.4840 0.6080 0.1432  4 La 3.23-3.46, 1 Sm 3.33
La8 0.7185 0.8551 0.2615  3 La 3.24-3.46
La9 0.1432 0.4840 0.6080  4 La 3.23-3.46, 1 Sm 3.33
La10 0.3920 0.8568 0.5160  4 La 3.23-3.46, 1 Sm 3.33
La11 0.2615 0.7185 0.8551  3 La 3.24-3.46
La12 0.1449 0.7385 0.2815  3 La 3.24-3.46
Tb1 0.0000 0.0000 0.0000  6 La 3.66, 6 Sm 3.68
Sm1 0.8595 0.6201 0.9350  3 Sm 3.49-3.58, 1 Tb 3.68, 6 La 3.71-3.82
Sm2 0.3799 0.0650 0.1405  3 Sm 3.49-3.58, 1 Tb 3.68, 6 La 3.71-3.82
Sm3 0.0650 0.1405 0.3799  3 Sm 3.49-3.58, 1 Tb 3.68, 6 La 3.71-3.82
Sm4 0.5000 0.5000 0.5000  6 La 3.33
Sm5 0.9350 0.8595 0.6201  3 Sm 3.49-3.58, 1 Tb 3.68, 6 La 3.71-3.82
Sm6 0.6201 0.9350 0.8595  3 Sm 3.49-3.58, 1 Tb 3.68, 6 La 3.71-3.82
Sm7 0.1405 0.3799 0.0650  3 Sm 3.49-3.58, 1 Tb 3.68, 6 La 3.71-3.82

***

3.
Computed, not measured: a geometry-optimized La4Tb2Sm structure at the PBE level of DFT.

Calculated values
Total moment   0.00 μB/cell
ΔE_f   0.216 eV/atom
Fermi-level density of states   1.5289 states/eV/atom
Symmetry   Imma, No. 74

Lattice parameters (Å, degrees): 6.9832 9.1367 9.1367 79.30 67.53 67.53
With the nearest neighbours (Å) after each atom.
Element x y z (fractional)
La1 0.1507 0.3489 0.3497  1 Tb 3.33, 2 Sm 3.61, 3 La 3.68-3.73
La2 0.1507 0.8497 0.8489  1 Tb 3.33, 2 Sm 3.61, 3 La 3.68-3.73
La3 0.2249 0.2434 0.7434  1 La 3.05, 1 Sm 3.14, 1 Tb 3.23
La4 0.7882 0.2434 0.7434  1 La 3.05, 1 Sm 3.14, 1 Tb 3.23
La5 0.2118 0.7566 0.2566  1 La 3.05, 1 Sm 3.14, 1 Tb 3.23
La6 0.8493 0.1503 0.1511  1 Tb 3.33, 2 Sm 3.61, 3 La 3.68-3.73
La7 0.7751 0.7566 0.2566  1 La 3.05, 1 Sm 3.14, 1 Tb 3.23
La8 0.8493 0.6511 0.6503  1 Tb 3.33, 2 Sm 3.61, 3 La 3.68-3.73
Tb1 0.2835 0.9665 0.4665  4 La 3.23-3.33, 2 Tb 3.59
Tb2 0.5000 0.0000 0.0000  4 La 3.52, 2 Tb 3.94
Tb3 0.5000 0.5000 0.5000  4 La 3.52, 2 Tb 3.94
Tb4 0.7165 0.0335 0.5335  4 La 3.23-3.33, 2 Tb 3.59
Sm1 0.0000 0.5000 0.0000  2 La 3.14, 2 Sm 3.49
Sm2 0.5000 0.5000 0.0000  2 La 3.14, 2 Sm 3.49

***

4.
Computed, not measured: a geometry-optimized La8Tb4Sm3 structure at the PBE level of DFT.

Calculated values
Total moment   0.00 μB/cell
ΔE_f   0.298 eV/atom
Fermi-level density of states   1.5655 states/eV/atom
Symmetry   C2/m, No. 12

Lattice parameters (Å, degrees): 6.9456 9.4794 9.4794 81.87 112.64 112.64
With the nearest neighbours (Å) after each atom.
Element x y z (fractional)
La1 0.7714 0.2993 0.2993  3 La 3.33-3.55, 2 Sm 3.51, 3 Tb 3.70-3.72
La2 0.0000 0.7043 0.2957  4 La 3.53-3.55, 2 Sm 3.54, 3 Tb 3.63-3.67
La3 0.1804 0.2429 0.2429  3 Tb 3.04-3.37, 1 Sm 3.19, 1 La 3.33
La4 0.5000 0.7544 0.2456  1 Tb 3.05, 1 Sm 3.16
La5 0.5000 0.2456 0.7544  1 Tb 3.05, 1 Sm 3.16
La6 0.8196 0.7571 0.7571  3 Tb 3.04-3.37, 1 Sm 3.19, 1 La 3.33
La7 0.0000 0.2957 0.7043  4 La 3.53-3.55, 2 Sm 3.54, 3 Tb 3.63-3.67
La8 0.2286 0.7007 0.7007  3 La 3.33-3.55, 2 Sm 3.51, 3 Tb 3.70-3.72
Tb1 0.5000 0.0000 0.0000  2 La 3.05
Tb2 0.0000 0.5000 0.0000  8 La 3.37-3.72, 2 Sm 3.47
Tb3 0.0000 0.0000 0.0000  2 La 3.04
Tb4 0.0000 0.0000 0.5000  8 La 3.37-3.72, 2 Sm 3.47
Sm1 0.5000 0.5000 0.0000  2 Tb 3.47, 8 La 3.51-3.79
Sm2 0.5000 0.0000 0.5000  2 Tb 3.47, 8 La 3.51-3.79
Sm3 0.5000 0.5000 0.5000  4 La 3.16-3.19

***

5.
Computed, not measured: a geometry-optimized La2Tb3Sm4 structure at the PBE level of DFT.

Calculated values
Total moment   0.00 μB/cell
ΔE_f   0.168 eV/atom
Fermi-level density of states   1.9921 states/eV/atom
Symmetry   C2/m, No. 12

Lattice parameters (Å, degrees): 6.2586 6.9767 8.6078 80.61 68.67 63.35
With the nearest neighbours (Å) after each atom.
Element x y z (fractional)
La1 0.6131 0.0000 0.7728  6 Tb 3.62-3.94, 1 La 3.64, 6 Sm 3.66-3.81
La2 0.3869 0.0000 0.2272  6 Tb 3.62-3.94, 1 La 3.64, 6 Sm 3.66-3.81
Tb1 0.0000 0.5000 0.0000  4 Tb 3.13-3.49
Tb2 0.0000 0.0000 0.0000  4 Tb 3.49, 4 Sm 3.51, 4 La 3.62
Tb3 0.5000 0.5000 0.0000  4 Tb 3.13-3.49
Sm1 0.6675 0.2894 0.3757  2 Sm 3.30-3.61, 3 Tb 3.51-3.64, 1 La 3.66
Sm2 0.9569 0.7106 0.3757  2 Sm 3.30-3.61, 3 Tb 3.51-3.64, 1 La 3.66
Sm3 0.3325 0.7106 0.6243  2 Sm 3.30-3.61, 3 Tb 3.51-3.64, 1 La 3.66
Sm4 0.0431 0.2894 0.6243  2 Sm 3.30-3.61, 3 Tb 3.51-3.64, 1 La 3.66

***

6.
Computed, not measured: a geometry-optimized La3Tb8Sm4 structure at the PBE level of DFT.

Calculated values
Total moment   0.00 μB/cell
ΔE_f   0.357 eV/atom
Fermi-level density of states   1.9941 states/eV/atom
Symmetry   C2/m, No. 12

Lattice parameters (Å, degrees): 6.8478 9.3706 9.3706 87.34 111.47 111.47
With the nearest neighbours (Å) after each atom.
Element x y z (fractional)
La1 0.5000 0.5000 0.0000  4 Tb 3.24-3.39, 2 Sm 3.42
La2 0.5000 0.0000 0.5000  4 Tb 3.24-3.39, 2 Sm 3.42
La3 0.5000 0.5000 0.5000  6 Tb 3.14-3.28
Tb1 0.5270 0.2668 0.2668  3 La 3.24-3.26, 2 Tb 3.26-3.59, 2 Sm 3.53-3.59
Tb2 0.0000 0.6416 0.3584  4 La 3.67-3.88, 7 Tb 3.67, 2 Sm 3.67
Tb3 0.0016 0.2655 0.2655  4 Sm 3.24-3.59, 2 Tb 3.26-3.59, 1 La 3.28
Tb4 0.5000 0.7429 0.2571  3 La 3.14-3.39, 3 Sm 3.33-3.39
Tb5 0.5000 0.2571 0.7429  3 La 3.14-3.39, 3 Sm 3.33-3.39
Tb6 0.9984 0.7345 0.7345  4 Sm 3.24-3.59, 2 Tb 3.26-3.59, 1 La 3.28
Tb7 0.0000 0.3584 0.6416  4 La 3.67-3.88, 7 Tb 3.67, 2 Sm 3.67
Tb8 0.4730 0.7332 0.7332  3 La 3.24-3.26, 2 Tb 3.26-3.59, 2 Sm 3.53-3.59
Sm1 0.5000 0.0000 0.0000  6 Tb 3.33-3.53, 2 Sm 3.42
Sm2 0.0000 0.5000 0.0000  4 Tb 3.24-3.39, 2 La 3.42
Sm3 0.0000 0.0000 0.0000  2 Sm 3.42, 4 Tb 3.59
Sm4 0.0000 0.0000 0.5000  4 Tb 3.24-3.39, 2 La 3.42

***

7.
Computed, not measured: a geometry-optimized La10TbSm4 structure at the PBE level of DFT.

Calculated values
Total moment   0.00 μB/cell
ΔE_f   0.639 eV/atom
Fermi-level density of states   1.7511 states/eV/atom
Symmetry   I4/m, No. 87

Lattice parameters (Å, degrees): 7.9270 9.7011 9.7011 80.39 65.89 65.89
With the nearest neighbours (Å) after each atom.
Element x y z (fractional)
La1 0.2500 0.5000 0.5000  4 Sm 3.43
La2 0.6517 0.2991 0.8995  1 Tb 3.42, 3 Sm 3.43-3.44
La3 0.0492 0.1005 0.2991  1 Tb 3.42, 3 Sm 3.43-3.44
La4 0.4488 0.8995 0.7009  1 Tb 3.42, 3 Sm 3.43-3.44
La5 0.8503 0.7009 0.1005  1 Tb 3.42, 3 Sm 3.43-3.44
La6 0.3483 0.7009 0.1005  1 Tb 3.42, 3 Sm 3.43-3.44
La7 0.7500 0.5000 0.5000  4 Sm 3.43
La8 0.1497 0.2991 0.8995  1 Tb 3.42, 3 Sm 3.43-3.44
La9 0.5512 0.1005 0.2991  1 Tb 3.42, 3 Sm 3.43-3.44
La10 0.9508 0.8995 0.7009  1 Tb 3.42, 3 Sm 3.43-3.44
Tb1 0.0000 0.0000 0.0000  8 La 3.42
Sm1 0.4000 0.8003 0.3997  8 La 3.43-3.44
Sm2 0.7997 0.6003 0.8003  8 La 3.43-3.44
Sm3 0.2003 0.3997 0.1997  8 La 3.43-3.44
Sm4 0.6000 0.1997 0.6003  8 La 3.43-3.44

***

8.
Computed, not measured: a geometry-optimized LaTb12Sm7 structure at the PBE level of DFT.

Calculated values
Total moment   0.00 μB/cell
ΔE_f   0.231 eV/atom
Fermi-level density of states   1.8254 states/eV/atom
Symmetry   R-3, No. 148

Lattice parameters (Å, degrees): 8.7745 8.7745 8.7745 88.86 88.86 88.86
With the nearest neighbours (Å) after each atom.
Element x y z (fractional)
La1 0.0000 0.0000 0.0000  6 Sm 3.33
Tb1 0.7628 0.2236 0.6336  4 Sm 3.26-3.51, 2 Tb 3.49-3.64
Tb2 0.7764 0.3664 0.2372  4 Sm 3.26-3.51, 2 Tb 3.49-3.64
Tb3 0.4424 0.1136 0.3445  3 Sm 3.44-3.79, 6 Tb 3.49-3.80
Tb4 0.8864 0.6555 0.5576  3 Sm 3.44-3.79, 6 Tb 3.49-3.80
Tb5 0.3664 0.2372 0.7764  4 Sm 3.26-3.51, 2 Tb 3.49-3.64
Tb6 0.6555 0.5576 0.8864  3 Sm 3.44-3.79, 6 Tb 3.49-3.80
Tb7 0.3445 0.4424 0.1136  3 Sm 3.44-3.79, 6 Tb 3.49-3.80
Tb8 0.6336 0.7628 0.2236  4 Sm 3.26-3.51, 2 Tb 3.49-3.64
Tb9 0.1136 0.3445 0.4424  3 Sm 3.44-3.79, 6 Tb 3.49-3.80
Tb10 0.5576 0.8864 0.6555  3 Sm 3.44-3.79, 6 Tb 3.49-3.80
Tb11 0.2236 0.6336 0.7628  4 Sm 3.26-3.51, 2 Tb 3.49-3.64
Tb12 0.2372 0.7764 0.3664  4 Sm 3.26-3.51, 2 Tb 3.49-3.64
Sm1 0.0009 0.6389 0.1224  4 Tb 3.26-3.48, 1 Sm 3.28, 1 La 3.33
Sm2 0.3611 0.8776 0.9991  4 Tb 3.26-3.48, 1 Sm 3.28, 1 La 3.33
Sm3 0.8776 0.9991 0.3611  4 Tb 3.26-3.48, 1 Sm 3.28, 1 La 3.33
Sm4 0.5000 0.5000 0.5000  12 Tb 3.51-3.73
Sm5 0.1224 0.0009 0.6389  4 Tb 3.26-3.48, 1 Sm 3.28, 1 La 3.33
Sm6 0.6389 0.1224 0.0009  4 Tb 3.26-3.48, 1 Sm 3.28, 1 La 3.33
Sm7 0.9991 0.3611 0.8776  4 Tb 3.26-3.48, 1 Sm 3.28, 1 La 3.33

***

9.
Computed, not measured: a geometry-optimized LaTb8Sm5 structure at the PBE level of DFT.

Calculated values
Total moment   0.00 μB/cell
ΔE_f   0.045 eV/atom
Fermi-level density of states   1.6116 states/eV/atom
Symmetry   Cm, No. 8

Lattice parameters (Å, degrees): 3.5627 15.0360 8.8479 90.55 101.61 90.00
With the nearest neighbours (Å) after each atom.
Element x y z (fractional)
La1 0.5564 0.4272 0.1129  2 Sm 3.18-3.52, 1 Tb 3.42
Tb1 0.1968 0.2800 0.3936  8 Tb 3.56-3.95, 2 La 3.75, 4 Sm 3.78-3.83
Tb2 0.7741 0.7296 0.5483  5 Sm 3.55-3.72, 8 Tb 3.56-3.91
Tb3 0.0895 0.6361 0.1789  5 Tb 3.36-3.66, 2 La 3.65, 2 Sm 3.66
Tb4 0.8792 0.3599 0.7585  5 Tb 3.29-3.62, 3 Sm 3.35-3.64, 2 La 3.68
Tb5 0.1308 0.8547 0.2615  4 Sm 3.35-3.58, 7 Tb 3.36-3.60
Tb6 0.8350 0.1464 0.6700  7 Tb 3.29-3.61, 4 Sm 3.36-3.55
Tb7 0.4620 0.7884 0.9239  4 Sm 3.46-3.63, 8 Tb 3.56-3.81
Tb8 0.5026 0.2075 0.0053  1 La 3.42, 3 Sm 3.49-3.63, 6 Tb 3.52-3.62
Sm1 0.3971 0.5704 0.7942  5 Tb 3.46-3.68, 1 La 3.52, 4 Sm 3.56-3.57
Sm2 0.7294 0.4988 0.4589  1 La 3.18, 2 Tb 3.35-3.55
Sm3 0.3085 0.9439 0.6170  6 Tb 3.35-3.72, 6 Sm 3.56-3.64
Sm4 0.6559 0.0591 0.3118  4 Tb 3.36-3.58, 6 Sm 3.56-3.64
Sm5 0.9826 0.9980 0.9653  6 Tb 3.37-3.63, 6 Sm 3.56-3.60